Computed, not measured: LaSc2IrO8 after structural relaxation at the PBE level of DFT.

Cell: 4.905 4.898 6.724 Å, 90.00 90.00 88.66°
Last column: magnetic moment on the atom in μB.
Positions (direct):
La 0.000 0.000 0.500  0.01
Sc 0.500 0.500 0.743  0.02
Sc 0.500 0.500 0.257  0.02
Ir 0.000 0.000 0.000  0.76
O 0.198 0.800 0.203  0.11
O 0.724 0.726 0.000  0.05
O 0.802 0.200 0.203  0.11
O 0.802 0.200 0.797  0.11
O 0.276 0.274 0.000  0.05
O 0.198 0.800 0.797  0.11
O 0.674 0.677 0.500  0.02
O 0.326 0.323 0.500  0.02

Computed properties:
As for the total moment: 1.6 μB per formula unit. The symmetry is P2/m (10). The formation energy from raw total energies comes out at -2669 kJ/mol of formula units. Its density of states at the Fermi level is 0.50 states/eV per atom. As for the crystal system: monoclinic.